1.
# AgBiOF2 | the Alexandria database | PBE-GGA | relaxed
data_AgBiOF2
_chemical_formula_sum 'Ag1 Bi1 O1 F2'
_symmetry_space_group_name_H-M 'P 4/m m m'
_symmetry_Int_Tables_number 123
_symmetry_space_group_name_Hall '-P 4 2'
_cell_length_a 4.3807
_cell_length_b 4.3807
_cell_length_c 4.1806
_cell_angle_alpha 90.00
_cell_angle_beta 90.00
_cell_angle_gamma 90.00
loop_
_atom_site_label
_atom_site_type_symbol
_atom_site_fract_x
_atom_site_fract_y
_atom_site_fract_z
Ag1 Ag 0.0000 0.0000 0.0000
Bi1 Bi 0.5000 0.5000 0.5000
O1 O 0.0000 0.0000 0.5000
F1 F 0.0000 0.5000 0.0000
# ΔE_f (raw) = -691 meV/atom
# Energy above the lowest structure with this stoichiometry = 2.67 eV per formula unit

2.
# AgBiO2F | the Alexandria database | PBE-GGA | relaxed
data_AgBiO2F
_chemical_formula_sum 'Ag1 Bi1 O2 F1'
_symmetry_space_group_name_H-M 'P 4/m m m'
_symmetry_Int_Tables_number 123
_symmetry_space_group_name_Hall '-P 4 2'
_cell_length_a 4.1826
_cell_length_b 4.1826
_cell_length_c 4.2417
_cell_angle_alpha 90.00
_cell_angle_beta 90.00
_cell_angle_gamma 90.00
loop_
_atom_site_label
_atom_site_type_symbol
_atom_site_fract_x
_atom_site_fract_y
_atom_site_fract_z
Ag1 Ag 0.0000 0.0000 0.0000
Bi1 Bi 0.5000 0.5000 0.5000
O1 O 0.0000 0.5000 0.0000
F1 F 0.0000 0.0000 0.5000
# ΔE_f (raw) = -421 meV/atom

Number 1: E -18.89 eV per formula unit. Number 2: E -20.62 eV per formula unit.